K2RbHI: relaxed, PBE.

crystal system	tetragonal
final energy	-2.105	eV per atom

a = 5.644 Å, b = 5.644 Å, c = 6.470 Å
α = 90.00°, β = 90.00°, γ = 90.00°
Fractional coordinates of all 5 atoms:
1 K 0.000 0.500 0.000
2 K 0.500 0.000 0.000
3 Rb 0.000 0.000 0.500
4 H 0.000 0.000 0.000
5 I 0.500 0.500 0.500

KH2SI: relaxed, PBE.

crystal system	tetragonal
final energy	-2.457	eV per atom

a = 4.227 Å, b = 4.227 Å, c = 6.678 Å
α = 90.00°, β = 90.00°, γ = 90.00°
Fractional coordinates of all 5 atoms:
1 K 0.000 0.000 0.000
2 H 0.000 0.500 0.500
3 H 0.500 0.000 0.500
4 S 0.000 0.000 0.500
5 I 0.500 0.500 0.000

Question: Number 1 is which compound?
Answer: K2RbHI

Question: Which value of final energy does entry 1 give?
Answer: -2.105 eV per atom